Density functional theory data (PBE with a Hubbard U) for a geometry-optimized NaY2MoO6 structure.

Values from the calculation:
VASP energy (eV per atom): -7.726
V (Å³/cell): 140.42

Cell lengths 5.6356, 5.6869, 5.9819 Å; angles 61.72, 62.81, 60.38 degrees
Closest atoms and distances in Å follow each position.
Fractional coordinates of all 10 atoms:
Na 0.8048 0.8005 0.6013  3 O 2.29-2.32
Y 0.5290 0.5300 0.4234  6 O 2.24-2.38
Y 0.0247 0.0110 0.9420  6 O 2.20-2.45
Mo 0.3210 0.3225 0.0376  6 O 1.92-2.08
O 0.5662 0.2349 0.2291  1 Mo 1.92
O 0.2253 0.9585 0.2362  1 Mo 2.04, 1 Y 2.27
O 0.9578 0.5763 0.2334  1 Mo 2.03, 1 Y 2.24
O 0.3973 0.6929 0.7644  1 Mo 2.07, 2 Y 2.20-2.30
O 0.6888 0.1415 0.7713  1 Mo 2.08, 2 Y 2.20-2.33, 1 Na 2.29
O 0.1467 0.3935 0.7766  1 Mo 1.99